The following is a DFT calculation (PBE+U) of an optimized crystal structure of LiMg6CrO8.

## Properties
SG: P4/mmm
electronic total energy: -6.168 eV/atom
energy relative to the lowest polymorph listed for this composition: 0.124 eV per formula unit

Lattice parameters (Å, degrees): 4.210 4.210 8.607 90.00 90.00 90.00
Sites, in units of the cell vectors:
Li 0.000 0.000 0.000
Mg 0.000 0.500 0.236
Mg 0.000 0.500 0.764
Mg 0.500 0.000 0.236
Mg 0.500 0.000 0.764
Mg 0.500 0.500 0.000
Mg 0.500 0.500 0.500
Cr 0.000 0.000 0.500
O 0.000 0.000 0.269
O 0.000 0.000 0.731
O 0.000 0.500 0.000
O 0.000 0.500 0.500
O 0.500 0.000 0.000
O 0.500 0.000 0.500
O 0.500 0.500 0.254
O 0.500 0.500 0.746